## Tc2GeTe2 (GGA-PBE)

Data for an optimized crystal structure of Tc2GeTe2.

Cell and atoms, written as POSCAR:
```
Tc2GeTe2
1.0
4.770 0.598 3.953
-0.771 3.835 4.841
-3.154 -4.676 -2.633
Tc Te Ge
2 2 1
Direct
0.750 0.250 0.500
0.250 0.750 0.500
0.636 0.636 0.000
0.364 0.364 0.000
0.000 0.000 0.000
```

Computed properties:
For the total energy, the calculation gives -0.4285 Ry/atom.